[1]
DFT (PBE-GGA) results for crystalline CaScTeI2 at its relaxed geometry.

Lattice parameters (Å, degrees): 5.658 5.658 5.728 90.00 90.00 90.00
Atoms (fractional coordinates):
I 0.000 0.500 0.000
I 0.500 0.000 0.000
Sc 0.000 0.000 0.000
Ca 0.500 0.500 0.500
Te 0.000 0.000 0.500

Results
* symmetry: P4/mmm, No. 123
* ΔE_f (raw): -4.32 eV/f.u.
* calculated volume: 36.68 Å³ per atom
* total magnetic moment: 0.00 μB/f.u.


[2]
DFT (PBE-GGA) results for crystalline IrRhN2F at its relaxed geometry.

Lattice parameters (Å, degrees): 3.908 3.908 3.932 90.00 90.00 90.00
Site moments in Bohr magnetons follow the coordinates.
Atoms (fractional coordinates):
N 0.000 0.500 0.000  -0.01
N 0.500 0.000 0.000  -0.01
Ir 0.500 0.500 0.500  0.36
Rh 0.000 0.000 0.000  -0.06
F 0.000 0.000 0.500  0.01

Results
* symmetry: P4/mmm, No. 123
* ΔE_f (raw): 7.03 eV/f.u.
* calculated volume: 12.01 Å³ per atom
* total magnetic moment: 0.29 μB/f.u.


[3]
DFT (PBE-GGA) results for crystalline BaNi3Ag at its relaxed geometry.

Lattice parameters (Å, degrees): 4.934 4.934 4.934 90.00 90.00 90.00
Atoms (fractional coordinates):
Ni 0.000 0.500 0.000
Ni 0.000 0.000 0.500
Ni 0.500 0.000 0.000
Ba 0.000 0.000 0.000
Ag 0.500 0.500 0.500

Results
* symmetry: Pm-3m, No. 221
* calculated volume: 24.03 Å³ per atom
* total magnetic moment: 0.00 μB/f.u.
* E_form: 1.764 eV per atom


[4]
DFT (PBE-GGA) results for crystalline SmYIrO6 at its relaxed geometry.

Lattice parameters (Å, degrees): 5.583 5.583 9.432 90.00 90.00 120.00
Site moments in Bohr magnetons follow the coordinates.
Atoms (fractional coordinates):
Sm 0.333 0.667 0.250  0.02
Sm 0.667 0.333 0.750  0.02
Y 0.000 0.000 0.000  0.03
Y 0.000 0.000 0.500  0.03
Ir 0.667 0.333 0.250  1.38
Ir 0.333 0.667 0.750  1.38
O 0.680 0.630 0.133  0.18
O 0.950 0.320 0.133  0.18
O 0.320 0.950 0.633  0.18
O 0.050 0.680 0.867  0.18
O 0.370 0.320 0.367  0.18
O 0.950 0.630 0.367  0.18
O 0.630 0.950 0.867  0.18
O 0.680 0.050 0.367  0.18
O 0.050 0.370 0.633  0.18
O 0.370 0.050 0.133  0.18
O 0.630 0.680 0.633  0.18
O 0.320 0.370 0.867  0.18

Results
* symmetry: P-31c, No. 163
* ΔE_f (raw): -19.33 eV/f.u.
* calculated volume: 14.14 Å³ per atom
* total magnetic moment: 2.83 μB/f.u.


[5]
DFT (PBE-GGA) results for crystalline MnIn2Cl at its relaxed geometry.

Lattice parameters (Å, degrees): 4.827 3.316 6.723 60.33 90.00 90.00
Site moments in Bohr magnetons follow the coordinates.
Atoms (fractional coordinates):
Cl 0.500 0.750 0.750  0.04
In 0.000 0.000 0.004  -0.04
In 0.000 0.500 0.496  -0.04
Mn 0.500 0.250 0.250  4.10

Results
* symmetry: P2/m, No. 10
* ΔE_f (raw): 0.41 eV/f.u.
* calculated volume: 23.38 Å³ per atom
* total magnetic moment: 4.24 μB/f.u.


[6]
DFT (PBE-GGA) results for crystalline Ba6ZnPtAu2 at its relaxed geometry.

Lattice parameters (Å, degrees): 8.235 8.236 8.979 62.72 62.72 60.00
Atoms (fractional coordinates):
Ba 0.574 0.251 0.242
Ba 0.251 0.933 0.242
Ba 0.932 0.574 0.242
Ba 0.404 0.728 0.761
Ba 0.729 0.106 0.761
Ba 0.107 0.404 0.761
Zn 0.830 0.830 0.511
Pt 0.330 0.330 0.011
Au 0.507 0.507 0.478
Au 0.998 0.998 0.005

Results
* symmetry: R3, No. 146
* calculated volume: 44.75 Å³ per atom
* total magnetic moment: 0.00 μB/f.u.
* E_form: -0.490 eV per atom